Record 1
Compound: NiSbW2
Source: Alexandria
Functional: PBE
Structure: optimized geometry

a b c (Å): 4.258 2.895 5.391
angles (deg): 77.96 90.00 90.00
Fractional positions:
Sb 0.500 0.584 0.736
W 0.500 0.247 0.262
Ni 0.000 0.656 0.490
W 0.000 0.013 0.012

Computed properties:
* E_form (uncorrected): 394.8 meV/atom
* DOS at the Fermi energy: 0.475 states/eV per atom

=====

Record 2
Compound: ZnRuW2
Source: Alexandria
Functional: PBE
Structure: optimized geometry

a b c (Å): 2.786 2.786 7.800
angles (deg): 90.00 90.00 90.00
Fractional positions:
W 0.000 0.000 0.508
Ru 0.500 0.500 0.750
Zn 0.500 0.500 0.250
W 0.000 0.000 0.992

Computed properties:
* DFT formation energy: 0.183 eV/atom
* DOS at the Fermi energy: 1.005 states/eV per atom

=====

Record 3
Compound: CsAgI4
Source: Alexandria
Functional: PBE
Structure: optimized geometry

a b c (Å): 5.818 5.817 8.947
angles (deg): 84.91 84.91 80.01
Fractional positions:
I 0.078 0.077 0.699
I 0.636 0.636 0.070
Cs 0.500 0.500 0.500
Ag 0.000 0.000 0.000
I 0.364 0.364 0.930
I 0.922 0.923 0.301

Computed properties:
* E_form (uncorrected): -573.4 meV/atom

=====

| no. | final energy (eV/cell) |
| --- | --- |
| 1 | -34.23 |
| 2 | -35.72 |
| 3 | -13.35 |